Entry 1:
4
Lattice="-2.116 0.349 1.805 2.186 -1.530 0.859 4.031 7.587 3.260" Properties=species:S:1:pos:R:3 comment="InReRu2 | Alexandria via LeMat-Bulk | GGA-PBE | relaxed" final_energy_ev_per_cell=-31.4 sg="No. 35" pbc="T T T"
In 1.991 3.748 1.610
Re 3.123 5.222 3.830
Ru 4.027 7.580 3.257
Ru 1.005 1.235 2.117

=====

Entry 2:
5
Lattice="-4.033 -3.907 2.496 1.430 -3.619 4.755 0.415 5.875 -1.752" Properties=species:S:1:pos:R:3 comment="GdSi2Ag2 | Alexandria via LeMat-Bulk | GGA-PBE | relaxed" formation_energy_uncorrected_mev_per_atom=-403 sg="No. 139" pbc="T T T"
Gd 0.000 0.000 0.000
Si -1.579 -4.566 4.400
Si -1.024 -2.960 2.852
Ag -2.460 -0.897 2.185
Ag 0.272 -0.754 3.315

=====

Entry 3:
10
Lattice="-0.245 -6.725 -2.498 5.118 -2.450 6.093 -7.041 0.150 0.286" Properties=species:S:1:pos:R:3 comment="SmYErTm2 | Alexandria via LeMat-Bulk | GGA-PBE | relaxed" final_energy_ev_per_cell=-45.4 sg="No. 63" pbc="T T T"
Sm 0.471 -3.392 3.929
Sm -2.639 -5.633 -0.048
Y -0.075 -1.685 -0.614
Y -2.093 -7.341 4.495
Er 0.413 -6.740 2.632
Er -2.580 -2.286 1.249
Tm 1.473 -4.126 0.650
Tm 3.523 -1.686 4.194
Tm 3.401 -5.049 2.945
Tm 1.595 -0.763 1.899

=====

Entry 4:
5
Lattice="-2.246 3.823 -2.603 -3.625 -0.993 1.669 0.923 3.206 3.913" Properties=species:S:1:pos:R:3 comment="Y2ZnSnB | Alexandria via LeMat-Bulk | GGA-PBE | relaxed" final_energy_ev_per_cell=-26.8 sg="No. 123" pbc="T T T"
Y 0.461 1.603 1.956
Y -1.123 1.912 -1.301
Zn -1.812 -0.497 0.834
B 0.000 0.000 0.000
Sn -2.474 3.018 1.489

=====

Entry 5:
12
Lattice="-4.910 -0.641 2.722 -4.172 -1.234 -7.815 3.492 -7.382 4.420" Properties=species:S:1:pos:R:3 comment="K3MoBr2Cl6 | Alexandria via LeMat-Bulk | GGA-PBE | relaxed" formation_energy_uncorrected_mev_per_atom=-1274 sg="No. 12" pbc="T T T"
K -2.086 -0.617 -3.908
K -2.795 -4.628 -0.336
K -0.709 -4.011 3.571
Mo -2.455 -0.320 1.361
Br -2.192 -3.724 -3.361
Br -3.398 -5.533 2.688
Cl -4.209 -1.696 0.607
Cl -1.381 -7.561 -1.280
Cl -4.662 -7.249 -1.485
Cl -0.928 -2.008 0.812
Cl 1.236 -6.787 3.622
Cl -6.826 -2.470 -4.295

=====

Entry 6:
9
Lattice="4.320 0.000 -1.292 -0.454 6.979 -1.518 -0.937 -0.010 4.735" Properties=species:S:1:pos:R:3 comment="Al6ZnTc2 | Alexandria via LeMat-Bulk | GGA-PBE | relaxed" sg="No. 12" de_polymorph_mev_per_atom=59 pbc="T T T"
Al 0.567 5.821 1.897
Al 2.362 1.148 0.028
Al 2.330 5.740 -0.079
Al 0.147 3.512 0.493
Al 0.599 1.229 2.003
Al 2.781 3.457 1.431
Zn 1.933 3.489 -1.405
Tc 3.168 1.113 2.725
Tc -0.239 5.856 -0.801

=====

Entry 7:
4
Lattice="2.831 0.000 0.000 1.415 2.451 0.000 1.415 0.817 10.274" Properties=species:S:1:pos:R:3 comment="Ga2SiAu | Alexandria via LeMat-Bulk | GGA-PBE | relaxed" formation_energy_uncorrected_mev_per_atom=132 sg="No. 166" pbc="T T T"
Si 0.000 0.000 0.000
Au 2.831 1.634 5.137
Ga 1.415 0.817 7.632
Ga 4.246 2.451 2.642

=====

Entry 8:
4
Lattice="-2.553 -1.047 4.311 1.656 -3.704 3.120 2.042 1.199 4.538" Properties=species:S:1:pos:R:3 comment="GdErGaAg | Alexandria via LeMat-Bulk | GGA-PBE | relaxed" final_energy_ev_per_cell=-26.4 sg="No. 216" pbc="T T T"
Gd 0.286 -0.888 2.992
Ga 0.000 0.000 0.000
Ag 0.573 -1.776 5.985
Er 0.859 -2.664 8.977